1.
First-principles (PBE) data for a relaxed NpPd5Pt2 crystal, as listed in Alexandria. Values from VASP.

Quantum ESPRESSO input file:
```
&SYSTEM
  ibrav = 0, nat = 16, ntyp = 3
/
ATOMIC_SPECIES
Np 237.00 Np.upf
Pd 106.42 Pd.upf
Pt 195.08 Pt.upf
CELL_PARAMETERS angstrom
5.718 0.000 0.000
0.000 11.305 0.000
0.000 0.000 4.087
ATOMIC_POSITIONS angstrom
Np 0.000 0.000 0.000
Np 2.859 5.653 0.000
Pd 0.000 5.653 0.000
Pd 0.020 2.801 0.000
Pd 1.396 7.084 2.044
Pd 1.463 1.431 2.044
Pd 2.840 8.453 0.000
Pd 2.859 0.000 0.000
Pd 2.879 2.852 0.000
Pd 4.255 9.874 2.044
Pd 4.322 4.221 2.044
Pd 5.699 8.504 0.000
Pt 1.417 9.916 2.044
Pt 1.443 4.264 2.044
Pt 4.276 7.041 2.044
Pt 4.302 1.389 2.044
```

E above lowest polymorph: 0 kJ/mol of formula units
Space-group type: Pbam
DOS(E_F): 27.48 states/eV per cell
M_tot: 2.27 μB per formula unit
Uncorrected energy: -6.696 eV/atom

2.
First-principles (PBE) data for a relaxed MnVAg2 crystal, as listed in Alexandria. Values from VASP.

Quantum ESPRESSO input file:
```
&SYSTEM
  ibrav = 0, nat = 16, ntyp = 3
/
ATOMIC_SPECIES
Mn 54.94 Mn.upf
V 50.94 V.upf
Ag 107.87 Ag.upf
CELL_PARAMETERS angstrom
7.383 0.000 0.000
0.000 7.383 0.000
0.000 0.000 5.336
ATOMIC_POSITIONS angstrom
Mn 0.000 0.000 0.000
Mn 0.000 3.692 1.334
Mn 3.692 0.000 4.002
Mn 3.692 3.692 2.668
V 0.000 0.000 2.668
V 0.000 3.692 4.002
V 3.692 0.000 1.334
V 3.692 3.692 0.000
Ag 1.774 1.846 0.667
Ag 1.846 5.466 2.001
Ag 1.846 5.609 4.669
Ag 1.917 1.846 3.335
Ag 5.466 5.537 3.335
Ag 5.537 1.774 4.669
Ag 5.537 1.917 2.001
Ag 5.609 5.537 0.667
```

E above lowest polymorph: 103 kJ/mol of formula units
Space-group type: I-42d
DOS(E_F): 12.61 states/eV per cell
M_tot: 0.81 μB per formula unit
Uncorrected energy: -5.311 eV/atom

3.
First-principles (PBE) data for a relaxed HoAg4Pb crystal, as listed in Alexandria. Values from VASP.

Quantum ESPRESSO input file:
```
&SYSTEM
  ibrav = 0, nat = 6, ntyp = 3
/
ATOMIC_SPECIES
Ho 164.93 Ho.upf
Ag 107.87 Ag.upf
Pb 207.20 Pb.upf
CELL_PARAMETERS angstrom
4.888 0.000 0.000
-2.444 4.233 0.000
0.000 0.000 6.325
ATOMIC_POSITIONS angstrom
Ho 0.000 0.000 0.000
Ag 0.000 2.822 1.506
Ag 0.000 2.822 4.819
Ag 2.444 1.411 1.506
Ag 2.444 1.411 4.819
Pb 0.000 0.000 3.162
```

Space-group type: P6/mmm
DOS(E_F): 1.69 states/eV per cell
M_tot: 0.00 μB per formula unit
Uncorrected energy: -3.420 eV/atom

no.,energy relative to the elements (eV/atom)
1,-0.32
2,0.69
3,-0.14